1.
A relaxed structure of Rb2VCu2, computed with PBE.

DOS at the Fermi energy = 0.7903 states/eV/atom
Energy of formation = 1196 meV/atom
Excess energy over the best structure of this formula in the dataset = 0.3033 eV/atom
Raw total energy = -2.653 eV per atom
SG = P4/mbm, No. 127

abc: 9.5135 9.5135 3.2817
angles: 90.00 90.00 90.00
Closest atoms and distances in Å follow each position.
Positions (direct):
Rb (0.1321, 0.3679, 0.0000)  6 Cu 3.09-3.36, 2 Rb 3.28
Rb (0.3679, 0.8679, 0.0000)  6 Cu 3.09-3.36, 2 Rb 3.28
Rb (0.6321, 0.1321, 0.0000)  6 Cu 3.09-3.36, 2 Rb 3.28
Rb (0.8679, 0.6321, 0.0000)  6 Cu 3.09-3.36, 2 Rb 3.28
V (0.0000, 0.0000, 0.0000)  2 V 3.28
V (0.5000, 0.5000, 0.0000)  2 V 3.28
Cu (0.1730, 0.6730, 0.5000)  6 Rb 3.09-3.36, 2 Cu 3.28
Cu (0.3270, 0.1730, 0.5000)  6 Rb 3.09-3.36, 2 Cu 3.28
Cu (0.6730, 0.8270, 0.5000)  6 Rb 3.09-3.36, 2 Cu 3.28
Cu (0.8270, 0.3270, 0.5000)  6 Rb 3.09-3.36, 2 Cu 3.28

=====

2.
A relaxed structure of LiTlNi, computed with PBE.

DOS at the Fermi energy = 0.7120 states/eV/atom
Energy of formation = 266 meV/atom
Excess energy over the best structure of this formula in the dataset = 0.2205 eV/atom
Raw total energy = -3.088 eV per atom
SG = P3m1, No. 156

abc: 3.1603 3.1603 6.3309
angles: 90.00 90.00 120.00
Closest atoms and distances in Å follow each position.
Positions (direct):
Li (0.0000, 0.0000, 0.0000)  3 Ni 2.61
Tl (0.3333, 0.6667, 0.6151)  3 Ni 2.72, 3 Li 3.04
Ni (0.6667, 0.3333, 0.2956)  3 Li 2.61, 3 Tl 2.72

=====

3.
A relaxed structure of CsZnS2Cl, computed with PBE.

DOS at the Fermi energy = 1.7034 states/eV/atom
Energy relative to the elements, uncorrected = 814 meV/atom
Excess energy over the best structure of this formula in the dataset = 1.3148 eV/atom
Raw total energy = -1.631 eV per atom
SG = P4/mmm, No. 123

abc: 5.5997 5.5997 6.4147
angles: 90.00 90.00 90.00
Closest atoms and distances in Å follow each position.
Positions (direct):
Cs (0.0000, 0.0000, 0.0000)  4 S 2.80
Zn (0.5000, 0.5000, 0.5000)  4 Cl 3.96, 8 S 4.26
S (0.0000, 0.5000, 0.0000)  2 Cs 2.80
S (0.5000, 0.0000, 0.0000)  2 Cs 2.80
Cl (0.0000, 0.0000, 0.5000)  2 Cs 3.21